# 1
A relaxed structure of NaZnGaBr4, computed with PBE.

a b c (Å): 7.1934 7.5480 8.4128
angles (deg): 90.00 106.61 90.00
With the nearest neighbours (Å) after each atom.
Space group P2_1/m (No. 11)
Asymmetric unit:
Na 0.2228 0.2500 0.0602 x2  6 Br 2.96-3.21
Zn 0.2494 0.7500 0.8120 x2  4 Br 2.40-2.46
Ga 0.2352 0.2500 0.5824 x2  4 Br 2.97-3.24
Br 0.0214 0.0003 0.7639 x4  1 Zn 2.46
Br 0.4476 0.7500 0.1006 x2  1 Zn 2.44
Br 0.4525 0.7500 0.6298 x2  1 Zn 2.40

Output
As for the density of states at the Fermi level: 0.00 states/eV/cell. The calculation puts the uncorrected energy at -2.71 eV per atom.

# 2
A relaxed structure of Zr5As3, computed with PBE.

a b c (Å): 8.0502 8.0502 5.6128
angles (deg): 90.00 90.00 120.00
With the nearest neighbours (Å) after each atom.
Space group P6_3/mcm (No. 193)
Asymmetric unit:
Zr 0.0000 0.2577 0.2500 x6  5 As 2.73-2.99
Zr 0.3333 0.6667 0.0000 x4  2 Zr 2.81, 6 As 2.87
As 0.0000 0.3847 0.7500 x6  9 Zr 2.73-2.99

Output
As for the density of states at the Fermi level: 16.99 states/eV/cell. The formation energy comes out at -0.95 eV/atom.

# 3
A relaxed structure of PmSm4Gd, computed with PBE.

a b c (Å): 9.4543 9.4543 9.4543
angles (deg): 90.00 90.00 90.00
With the nearest neighbours (Å) after each atom.
Space group F-43m (No. 216)
Asymmetric unit:
Pm 0.0000 0.0000 0.0000 x4  12 Sm 3.92, 4 Gd 4.09
Sm 0.1253 0.1253 0.6253 x16  6 Sm 3.33-3.35
Gd 0.2500 0.2500 0.2500 x4  12 Sm 3.92, 4 Pm 4.09

Output
As for the density of states at the Fermi level: 47.73 states/eV/cell. The formation energy comes out at 0.25 eV/atom.

# 4
A relaxed structure of SmDy2Au4, computed with PBE.

a b c (Å): 7.3455 9.7322 5.0091
angles (deg): 90.00 90.00 90.00
With the nearest neighbours (Å) after each atom.
Space group Cmmm (No. 65)
Asymmetric unit:
Sm 0.0000 0.0000 0.0000 x2  8 Au 2.95-3.05
Dy 0.0000 0.2865 0.5000 x4  8 Au 2.97-3.19
Au 0.2115 0.0000 0.5000 x4  2 Sm 2.95, 4 Dy 2.97-3.19, 1 Au 3.11
Au 0.2500 0.2500 0.0000 x4  2 Sm 3.05, 4 Dy 3.13

Output
As for the density of states at the Fermi level: 10.15 states/eV/cell. The formation energy comes out at -0.70 eV/atom.

# 5
A relaxed structure of PmSm5Dy2, computed with PBE.

a b c (Å): 7.2239 14.4476 5.0930
angles (deg): 90.00 90.00 90.00
With the nearest neighbours (Å) after each atom.
Space group Pbam (No. 55)
Asymmetric unit:
Pm 0.0000 0.0000 0.0000 x2  4 Dy 3.61, 8 Sm 3.61
Sm 0.0000 0.5000 0.0000 x2  6 Sm 3.61, 4 Dy 3.61, 2 Pm 3.61
Sm 0.0008 0.2502 0.0000 x4  4 Dy 3.60-3.61, 7 Sm 3.60-3.61, 1 Pm 3.61
Sm 0.2493 0.6253 0.5000 x4  6 Sm 3.60-3.61, 4 Dy 3.61-3.62, 2 Pm 3.61
Dy 0.2504 0.3750 0.5000 x4  10 Sm 3.60-3.62, 2 Pm 3.61

Output
As for the density of states at the Fermi level: 23.07 states/eV/cell. The formation energy comes out at 0.02 eV/atom.

# 6
A relaxed structure of YAlCr2Se6, computed with PBE.

a b c (Å): 6.6125 6.6125 17.8264
angles (deg): 90.00 90.00 120.00
With the nearest neighbours (Å) after each atom.
Space group R3 (No. 146, hexagonal axes)
Asymmetric unit:
Y 0.0000 0.0000 0.0000 x3  6 Se 2.81-2.85
Al 0.0000 0.0000 0.4948 x3  6 Se 2.56-2.58
Cr 0.0000 0.0000 0.3025 x3  6 Se 2.57-2.64
Cr 0.0000 0.0000 0.8065 x3  6 Se 2.52-2.63
Se 0.0065 0.3506 0.5602 x9  2 Cr 2.57-2.63, 1 Al 2.58, 1 Y 2.85
Se 0.0208 0.6284 0.0685 x9  2 Cr 2.52-2.64, 1 Al 2.56, 1 Y 2.81

Output
As for the density of states at the Fermi level: 0.16 states/eV/cell. The calculation puts the uncorrected energy at -5.89 eV per atom.

# 7
A relaxed structure of Mg2ScCu, computed with PBE.

a b c (Å): 3.1764 4.7463 5.3852
angles (deg): 90.00 101.22 90.00
With the nearest neighbours (Å) after each atom.
Space group P2/m (No. 10)
Asymmetric unit:
Mg 0.1557 0.0000 0.2685 x2  2 Cu 2.77, 3 Mg 2.86-2.98, 2 Sc 3.09
Sc 0.5000 0.5000 0.0000 x1  2 Cu 2.85, 4 Mg 3.09, 2 Sc 3.18
Cu 0.0000 0.5000 0.5000 x1  4 Mg 2.77, 2 Sc 2.85

Output
As for the density of states at the Fermi level: 3.28 states/eV/cell. The formation energy comes out at 0.03 eV/atom.

# 8
A relaxed structure of CsLi2Zr3O8, computed with PBE.

a b c (Å): 6.5628 6.5628 20.8631
angles (deg): 90.00 90.00 120.00
With the nearest neighbours (Å) after each atom.
Space group R3m (No. 160, hexagonal axes)
Asymmetric unit:
Cs 0.0000 0.0000 0.0000 x3  4 O 2.86-2.87
Li 0.0000 0.0000 0.3006 x3  3 O 1.92
Li 0.0000 0.0000 0.8061 x3  3 O 1.94
Zr 0.1689 0.3379 0.1878 x9  6 O 2.09-2.19
O 0.0000 0.0000 0.1376 x3  3 Zr 2.19
O 0.0000 0.0000 0.5726 x3  3 Zr 2.16
O 0.0074 0.5037 0.1423 x9  1 Li 1.94, 2 Zr 2.09
O 0.1961 0.3923 0.9139 x9  1 Li 1.92

Output
As for the density of states at the Fermi level: 18.54 states/eV/cell. The calculation puts the uncorrected energy at -7.58 eV per atom.

> Which formula does entry 8 have?

CsLi2Zr3O8